TaSiPt | PBE | optimized geometry

Properties
Energy relative to the elements, uncorrected: -0.275 eV per atom

Cell: 2.8176 7.3820 7.4379 Å, 137.66 90.00 101.00°
Last column: nearest neighbours and their distance in Å.
Positions (direct):
Ta  0.8137  0.6273  0.2818  4 Pt 2.63-2.91, 3 Si 2.71-2.87, 2 Ta 2.82
Ta  0.1863  0.3727  0.7183  4 Pt 2.63-2.91, 3 Si 2.71-2.87, 2 Ta 2.82
Pt  0.9476  0.8952  0.1685  2 Si 2.44-2.50, 2 Ta 2.63-2.72
Pt  0.0524  0.1048  0.8315  2 Si 2.44-2.50, 2 Ta 2.63-2.72
Si  0.8410  0.6821  0.7057  2 Pt 2.44-2.50, 2 Si 2.48, 2 Ta 2.71
Si  0.1590  0.3179  0.2943  2 Pt 2.44-2.50, 2 Si 2.48, 2 Ta 2.71

---

Ta2SiPt | PBE | optimized geometry

Properties
Energy relative to the elements, uncorrected: -0.391 eV per atom

Cell: 5.1838 5.1838 5.1838 Å, 142.57 128.98 64.96°
Last column: nearest neighbours and their distance in Å.
Positions (direct):
Si  0.2637  0.7637  0.5000  2 Pt 2.47, 2 Ta 2.71
Pt  0.4731  0.4731  0.0000  2 Si 2.47
Ta  0.7440  0.2440  0.5000  4 Si 2.79, 4 Pt 2.90-3.00, 4 Ta 2.93-2.97
Ta  0.0192  0.0192  0.0000  2 Si 2.71, 4 Pt 2.81, 4 Ta 2.93-2.97

---

Ta2SiPt | PBE | optimized geometry

Properties
Energy relative to the elements, uncorrected: -0.351 eV per atom

Cell: 3.4226 3.4226 5.6604 Å, 90.00 90.00 90.00°
Last column: nearest neighbours and their distance in Å.
Positions (direct):
Si  0.5000  0.5000  0.7627  6 Ta 2.71-2.83, 4 Pt 2.85
Ta  0.0000  0.0000  0.9782  4 Si 2.71, 2 Pt 2.73-2.93, 4 Ta 2.91
Ta  0.5000  0.5000  0.2630  4 Pt 2.76, 2 Si 2.83, 4 Ta 2.91
Pt  0.0000  0.0000  0.4961  6 Ta 2.73-2.93, 4 Si 2.85

---

TaSiPt2 | PBE | optimized geometry

Properties
Energy relative to the elements, uncorrected: -0.443 eV per atom

Cell: 3.8671 3.8669 4.1489 Å, 90.00 90.00 90.00°
Last column: nearest neighbours and their distance in Å.
Positions (direct):
Ta  0.0000  0.5000  0.5000  4 Si 2.73, 8 Pt 2.84
Pt  0.0000  0.0000  0.0000  4 Pt 2.73, 4 Ta 2.84, 4 Si 2.84
Pt  0.5000  0.5000  0.0000  4 Pt 2.73, 4 Si 2.84, 4 Ta 2.84
Si  0.5000  0.0000  0.5000  4 Ta 2.73, 8 Pt 2.84

---

Ta2SiPt | PBE | optimized geometry

Properties
Energy relative to the elements, uncorrected: -0.142 eV per atom

Cell: 9.2058 9.2058 9.2058 Å, 18.14 18.14 18.14°
Last column: nearest neighbours and their distance in Å.
Positions (direct):
Ta  0.0062  0.0062  0.0062  3 Si 2.76, 9 Ta 2.90-3.05
Ta  0.2458  0.2458  0.2458  3 Pt 2.85, 9 Ta 2.90-3.05
Pt  0.4944  0.4944  0.4944  3 Si 2.62, 3 Ta 2.85, 6 Pt 2.90
Si  0.7536  0.7536  0.7536  3 Pt 2.62, 3 Ta 2.76, 6 Si 2.90

---

TaSiPt2 | PBE | optimized geometry

Properties
Energy relative to the elements, uncorrected: -0.589 eV per atom

Cell: 3.9411 2.9270 5.6245 Å, 75.00 90.00 90.00°
Last column: nearest neighbours and their distance in Å.
Positions (direct):
Si  0.0000  0.3068  0.5115  3 Pt 2.38-2.56
Ta  0.5000  0.6931  0.7401  4 Si 2.75, 7 Pt 2.78-2.96, 2 Ta 2.93
Pt  0.0000  0.0716  0.9827  1 Si 2.56, 4 Ta 2.78-2.79
Pt  0.5000  0.4286  0.2656  2 Si 2.38

---

> Which value of energy relative to the elements, uncorrected does entry 3 give?

-0.351 eV per atom